1.
TmGePd3 | Alexandria via LeMat-Bulk | GGA-PBE | optimized geometry; crystal system = orthorhombic; size of the total moment = 0.000 μB/f.u.; total energy = -0.20774 Ha/atom
1.0
-2.091 3.138 1.613
2.791 -2.332 8.152
7.817 5.741 -1.033
Tm Pd Ge
4 12 4
Direct
0.250 0.395 0.121
0.750 0.105 0.621
0.250 0.895 0.379
0.750 0.605 0.879
0.750 0.430 0.602
0.750 0.752 0.541
0.250 0.870 0.704
0.750 0.630 0.204
0.250 0.748 0.041
0.250 0.370 0.796
0.750 0.130 0.296
0.750 0.252 0.959
0.250 0.248 0.459
0.750 0.930 0.898
0.250 0.570 0.398
0.250 0.070 0.102
0.750 0.901 0.148
0.250 0.599 0.648
0.250 0.099 0.852
0.750 0.401 0.352


2.
Tm2Ge5Pd3 | Alexandria via LeMat-Bulk | GGA-PBE | optimized geometry; crystal system = orthorhombic; size of the total moment = 0.000 μB/f.u.; total energy = -0.19837 Ha/atom
1.0
-4.547 3.954 0.979
-2.163 0.208 8.144
2.940 7.431 2.682
Ge Pd Tm
10 6 4
Direct
0.750 0.500 0.500
0.397 0.261 0.945
0.103 0.055 0.739
0.475 0.775 0.775
0.250 0.500 0.500
0.603 0.739 0.055
0.025 0.225 0.225
0.975 0.775 0.775
0.525 0.225 0.225
0.897 0.945 0.261
0.856 0.760 0.527
0.750 0.000 0.000
0.250 0.000 0.000
0.144 0.240 0.473
0.644 0.473 0.240
0.356 0.527 0.760
0.868 0.406 0.857
0.132 0.594 0.143
0.368 0.857 0.406
0.632 0.143 0.594


3.
Tm4Ge8Pd | Alexandria via LeMat-Bulk | GGA-PBE | optimized geometry; crystal system = orthorhombic; size of the total moment = 0.000 μB/f.u.; total energy = -0.19220 Ha/atom
1.0
3.953 0.000 0.000
0.000 4.045 0.000
0.000 0.000 16.479
Ge Tm Pd
8 4 1
Direct
0.000 0.000 0.749
0.500 0.000 0.571
0.500 0.000 0.227
0.000 0.000 0.472
0.000 0.500 0.228
0.000 0.500 0.936
0.500 0.500 0.039
0.500 0.500 0.756
0.000 0.000 0.093
0.500 0.500 0.402
0.000 0.500 0.613
0.500 0.000 0.892
0.000 0.000 0.324


4.
TmGePd3 | Alexandria via LeMat-Bulk | GGA-PBE | optimized geometry; crystal system = tetragonal; size of the total moment = 0.000 μB/f.u.; total energy = -0.19714 Ha/atom
1.0
5.141 0.000 0.000
0.000 5.141 0.000
-2.570 -2.570 8.284
Pd Tm Ge
6 2 2
Direct
0.123 0.376 0.245
0.130 0.877 0.755
0.716 0.716 0.432
0.123 0.870 0.245
0.284 0.284 0.568
0.624 0.877 0.755
0.876 0.376 0.751
0.624 0.124 0.249
0.250 0.750 0.500
0.000 0.000 0.000


5.
TmGe2Pd | Alexandria via LeMat-Bulk | GGA-PBE | optimized geometry; crystal system = tetragonal; size of the total moment = 0.000 μB/f.u.; total energy = -0.19519 Ha/atom
1.0
-0.139 -3.795 1.619
3.500 0.819 2.220
-2.362 1.448 3.190
Tm Ge Pd
1 2 1
Direct
0.500 0.500 0.500
0.000 0.500 0.000
0.000 0.000 0.500
0.500 0.000 0.000


6.
Tm3Ge2Pd | Alexandria via LeMat-Bulk | GGA-PBE | optimized geometry; crystal system = orthorhombic; size of the total moment = 0.000 μB/f.u.; total energy = -0.20270 Ha/atom
1.0
-0.554 -1.681 3.870
8.915 -6.450 -1.525
6.655 8.138 4.487
Ge Pd Tm
8 4 12
Direct
0.250 0.811 0.993
0.250 0.689 0.493
0.750 0.493 0.184
0.750 0.189 0.007
0.250 0.507 0.816
0.750 0.007 0.684
0.750 0.311 0.507
0.250 0.993 0.316
0.750 0.627 0.371
0.750 0.873 0.871
0.250 0.373 0.629
0.250 0.127 0.129
0.250 0.127 0.552
0.250 0.439 0.376
0.750 0.873 0.448
0.750 0.305 0.780
0.250 0.373 0.052
0.750 0.561 0.624
0.250 0.695 0.220
0.250 0.805 0.720
0.250 0.061 0.876
0.750 0.939 0.124
0.750 0.195 0.280
0.750 0.627 0.948


7.
Tm3Ge3Pd2 | Alexandria via LeMat-Bulk | GGA-PBE | optimized geometry; crystal system = orthorhombic; size of the total moment = 0.000 μB/f.u.; total energy = -0.20544 Ha/atom
1.0
5.672 0.000 0.000
0.000 7.966 0.000
0.000 0.000 14.340
Tm Ge Pd
12 12 8
Direct
0.367 0.962 0.389
0.130 0.187 0.750
0.870 0.813 0.250
0.133 0.462 0.389
0.367 0.962 0.111
0.633 0.038 0.889
0.867 0.538 0.611
0.867 0.538 0.889
0.630 0.313 0.250
0.133 0.462 0.111
0.633 0.038 0.611
0.370 0.687 0.750
0.597 0.295 0.039
0.903 0.795 0.039
0.877 0.819 0.750
0.623 0.319 0.750
0.123 0.181 0.250
0.597 0.295 0.461
0.403 0.705 0.961
0.097 0.205 0.539
0.903 0.795 0.461
0.403 0.705 0.539
0.097 0.205 0.961
0.377 0.681 0.250
0.626 0.584 0.393
0.126 0.916 0.893
0.874 0.084 0.107
0.374 0.416 0.893
0.374 0.416 0.607
0.874 0.084 0.393
0.626 0.584 0.107
0.126 0.916 0.607


8.
TmGePd5 | Alexandria via LeMat-Bulk | GGA-PBE | optimized geometry; crystal system = monoclinic; size of the total moment = 0.000 μB/f.u.; total energy = -0.20578 Ha/atom
1.0
9.780 2.426 1.076
5.403 8.506 1.076
7.448 5.362 4.441
Pd Ge Tm
10 2 2
Direct
0.456 0.783 0.818
0.495 0.951 0.913
0.036 0.964 0.750
0.783 0.456 0.318
0.964 0.036 0.250
0.505 0.049 0.087
0.217 0.544 0.682
0.951 0.495 0.413
0.049 0.505 0.587
0.544 0.217 0.182
0.000 0.000 0.500
0.000 0.000 0.000
0.589 0.411 0.250
0.411 0.589 0.750


What is the formula in the sixth record? Tm3Ge2Pd


What is the formula in the sixth record? Tm3Ge2Pd


The highest total energy belongs to which entry? Tm4Ge8Pd